[1]
Below is Li4HoGe4 after structural relaxation, with properties calculated at the GGA-PBE level.

abc: 6.0938 6.0938 8.6092
angles: 90.00 90.00 90.00
Closest atoms and distances in Å follow each position.
Space group P4_2/nmc (No. 137, origin choice 2)
Asymmetric unit:
Li 0.0093 0.2500 0.1629 (multiplicity 8)  5 Ge 2.58-2.62, 2 Li 2.69
Ho 0.2500 0.7500 0.2500 (multiplicity 2)  4 Ge 3.05
Ge 0.0435 0.2500 0.4636 (multiplicity 8)  1 Ge 2.52, 5 Li 2.58-2.62

Output
- total energy (eV per atom) = -3.741



[2]
Below is MgTlSi2 after structural relaxation, with properties calculated at the GGA-PBE level.

abc: 9.0681 3.7011 5.9282
angles: 90.00 107.90 90.00
Closest atoms and distances in Å follow each position.
Space group C2/m (No. 12)
Asymmetric unit:
Mg 0.0000 0.0000 0.0000 (multiplicity 2)  6 Si 2.68-2.78
Tl 0.0000 0.5000 0.5000 (multiplicity 2)  6 Si 3.26-3.55, 4 Mg 3.49
Si 0.2404 0.5000 0.1270 (multiplicity 4)  2 Si 2.43, 1 Mg 2.68

Output
- formation energy (no corrections) (eV/atom) = 0.22
- total energy (eV per atom) = -3.483



[3]
Below is Tb3Dy5Y3 after structural relaxation, with properties calculated at the GGA-PBE level.

abc: 9.7329 9.7329 5.5170
angles: 90.00 90.00 120.00
Closest atoms and distances in Å follow each position.
Space group P-62m (No. 189)
Asymmetric unit:
Tb 0.0000 0.4545 0.0000 (multiplicity 3)  2 Dy 3.20, 2 Y 3.31
Dy 0.0000 0.2883 0.5000 (multiplicity 3)  3 Y 3.20-3.45, 2 Tb 3.20, 2 Dy 3.48
Dy 0.3333 0.6667 0.5000 (multiplicity 2)  3 Y 3.13, 3 Dy 3.48
Y 0.0000 0.6427 0.5000 (multiplicity 3)  5 Dy 3.13-3.45, 2 Tb 3.31

Output
- total energy (eV per atom) = -4.289



[4]
Below is SrMn2Si after structural relaxation, with properties calculated at the GGA-PBE level.

abc: 3.2033 3.2033 7.3613
angles: 90.00 90.00 90.00
Closest atoms and distances in Å follow each position.
Space group P4/mmm (No. 123)
Asymmetric unit:
Sr 0.0000 0.0000 0.0000 (multiplicity 1)  4 Sr 3.20, 8 Mn 3.35
Mn 0.5000 0.5000 0.3349 (multiplicity 2)  1 Mn 2.43, 4 Si 2.57
Si 0.0000 0.0000 0.5000 (multiplicity 1)  8 Mn 2.57

Output
- formation energy (no corrections) (eV/atom) = 0.35
- total energy (eV per atom) = -6.008



[5]
Below is ErLuPdRu after structural relaxation, with properties calculated at the GGA-PBE level.

abc: 6.7921 6.7921 6.7921
angles: 90.00 90.00 90.00
Closest atoms and distances in Å follow each position.
Space group F-43m (No. 216)
Asymmetric unit:
Er 0.0000 0.0000 0.0000 (multiplicity 4)  4 Ru 2.94, 4 Pd 2.94
Lu 0.0000 0.0000 0.5000 (multiplicity 4)  4 Ru 2.94, 4 Pd 2.94
Pd 0.2500 0.2500 0.2500 (multiplicity 4)  4 Er 2.94, 4 Lu 2.94
Ru 0.2500 0.2500 0.7500 (multiplicity 4)  4 Er 2.94, 4 Lu 2.94

Output
- total energy (eV per atom) = -6.618



[6]
Below is CaPr3Nd12 after structural relaxation, with properties calculated at the GGA-PBE level.

abc: 5.2346 5.2346 20.8791
angles: 90.00 90.00 90.00
Closest atoms and distances in Å follow each position.
Space group P4/mmm (No. 123)
Asymmetric unit:
Ca 0.0000 0.0000 0.0000 (multiplicity 1)  12 Nd 3.70-3.74
Pr 0.0000 0.0000 0.2502 (multiplicity 2)  12 Nd 3.65-3.70
Pr 0.0000 0.0000 0.5000 (multiplicity 1)  12 Nd 3.69-3.70
Nd 0.0000 0.5000 0.1281 (multiplicity 4)  8 Nd 3.64-3.74, 2 Pr 3.65, 2 Ca 3.74
Nd 0.0000 0.5000 0.3757 (multiplicity 4)  4 Pr 3.69-3.70, 8 Nd 3.69-3.71
Nd 0.5000 0.5000 0.0000 (multiplicity 1)  4 Ca 3.70, 8 Nd 3.74
Nd 0.5000 0.5000 0.2495 (multiplicity 2)  8 Nd 3.64-3.71, 4 Pr 3.70
Nd 0.5000 0.5000 0.5000 (multiplicity 1)  8 Nd 3.69, 4 Pr 3.70

Output
- total energy (eV per atom) = -4.572